Crystalline SrPmF6 at its relaxed geometry, computed with PBE-GGA.

```
8
Lattice="3.927 0.000 0.000 0.000 5.381 -0.809 0.000 0.138 5.439" Properties=species:S:1:pos:R:3 pbc="T T T"
F 0.000 3.842 1.025
F 1.963 4.349 0.420
F 0.000 1.168 2.029
F 0.000 3.317 3.833
F 1.963 5.144 3.221
F 1.963 1.452 0.124
Pm 0.000 5.361 -0.786
Sr 1.963 2.683 2.405
```

## Properties
- Energy: -5.611 eV/atom
- Volume: 14.421 Å³ per atom
- Space group: Amm2
- E_form (uncorrected): -3403 meV/atom
- Theoretical density: 5.0 g/cm³


Crystalline Pm2TaF at its relaxed geometry, computed with PBE-GGA.

```
4
Lattice="3.175 0.000 0.000 1.587 2.750 0.000 1.587 0.917 9.982" Properties=species:S:1:pos:R:3 pbc="T T T"
Pm 1.587 0.917 6.957
Pm 4.762 2.750 3.025
F 3.175 1.833 4.991
Ta 0.000 0.000 0.000
```

## Properties
- Energy: -6.366 eV/atom
- Volume: 21.786 Å³ per atom
- Space group: R-3m
- E_form (uncorrected): -560 meV/atom
- Theoretical density: 9.3 g/cm³


Crystalline Tb2PmF11 at its relaxed geometry, computed with PBE-GGA.

```
28
Lattice="7.492 0.000 3.905 3.397 7.676 2.623 0.181 0.028 8.793" Properties=species:S:1:pos:R:3 pbc="T T T"
F 4.254 0.259 8.217
F 7.396 3.621 11.329
F 2.585 4.278 7.994
F 6.028 6.093 12.038
F 3.673 4.083 3.992
F 9.444 6.192 7.298
F 3.150 2.432 10.335
F 6.815 7.445 7.103
F 9.654 7.279 12.712
F 7.919 5.273 4.985
F 1.416 0.425 2.609
F 8.484 3.427 7.327
F 3.620 2.241 6.008
F 5.339 5.336 6.036
F 5.535 3.852 7.660
F 5.730 2.368 9.285
F 1.625 1.512 8.022
F 10.061 6.256 10.015
F 5.041 1.611 3.282
F 0.000 0.000 0.000
F 7.449 5.463 9.312
F 1.008 1.448 5.306
Tb 7.328 5.299 7.111
Tb 3.741 2.405 8.210
Tb 7.096 1.475 10.913
Tb 3.973 6.229 4.408
Pm 8.302 5.778 11.490
Pm 2.767 1.926 3.830
```

## Properties
- Energy: -5.916 eV/atom
- Volume: 17.860 Å³ per atom
- Space group: Ibam
- E_form (uncorrected): -3444 meV/atom
- Theoretical density: 4.5 g/cm³


Crystalline TbPm2F at its relaxed geometry, computed with PBE-GGA.

```
4
Lattice="-1.433 -1.854 -2.887 -2.260 -2.894 0.585 -8.544 4.123 -0.802" Properties=species:S:1:pos:R:3 pbc="T T T"
Pm -5.989 2.130 -0.790
Pm -6.248 -2.754 -2.314
Tb 0.000 0.000 0.000
F -6.119 -0.312 -1.552
```

## Properties
- Energy: -4.908 eV/atom
- Volume: 27.763 Å³ per atom
- Space group: R-3m
- E_form (uncorrected): -907 meV/atom
- Theoretical density: 7.0 g/cm³


Crystalline TbPm2F8 at its relaxed geometry, computed with PBE-GGA.

```
11
Lattice="3.938 0.000 0.000 -1.969 5.855 -1.374 0.000 0.065 8.336" Properties=species:S:1:pos:R:3 pbc="T T T"
Pm 0.000 2.924 1.859
Pm 1.969 2.996 5.103
F 1.969 1.168 6.417
F 0.000 0.710 1.032
F 1.969 2.334 0.572
F 0.000 4.753 0.545
F 0.000 3.586 6.390
F 0.000 2.034 4.103
F 1.969 5.210 5.930
F 1.969 3.886 2.859
Tb 1.969 0.000 0.000
```

## Properties
- Energy: -6.481 eV/atom
- Volume: 17.502 Å³ per atom
- Space group: C2/m
- E_form (uncorrected): -3835 meV/atom
- Theoretical density: 5.2 g/cm³


Crystalline Tb3PmF at its relaxed geometry, computed with PBE-GGA.

```
5
Lattice="-0.938 0.385 -4.977 -3.160 -3.967 0.289 -3.865 3.150 0.973" Properties=species:S:1:pos:R:3 pbc="T T T"
Tb -0.469 0.193 -2.489
Tb -1.580 -1.983 0.144
Tb -1.932 1.575 0.486
F 0.000 0.000 0.000
Pm -3.982 -0.216 -1.858
```

## Properties
- Energy: -5.040 eV/atom
- Volume: 26.216 Å³ per atom
- Space group: Pm-3m
- E_form (uncorrected): -937 meV/atom
- Theoretical density: 8.1 g/cm³